ZnGaNi2 after structural relaxation, computed with GGA-PBE.

## Properties
size of the total moment = 0.0 μB/cell
total energy = -4.1902 eV per atom

Structure (POSCAR):
```
ZnGaNi2
1.0
2.8843 0.0000 0.0000
0.0000 2.8843 0.0000
0.0000 0.0000 5.8619
Ni Zn Ga
2 1 1
Cartesian
1.4422 1.4422 4.4357
1.4422 1.4422 1.4262
0.0000 0.0000 2.9310
0.0000 0.0000 0.0000
```



ZnGaNi2 after structural relaxation, computed with GGA-PBE.

## Properties
size of the total moment = 0.0 μB/cell
total energy = -4.0362 eV per atom

Structure (POSCAR):
```
ZnGaNi2
1.0
0.0000 2.9096 2.9096
2.9096 0.0000 2.9096
2.9096 2.9096 0.0000
Ni Zn Ga
2 1 1
Cartesian
0.0000 0.0000 0.0000
4.3643 4.3643 4.3643
1.4548 1.4548 1.4548
2.9095 2.9095 2.9095
```



ZnGaNi2 after structural relaxation, computed with GGA-PBE.

## Properties
size of the total moment = 0.0 μB/cell
total energy = -4.1937 eV per atom

Structure (POSCAR):
```
ZnGaNi2
1.0
3.9286 0.0000 0.0000
0.0000 3.9286 0.0000
0.0000 0.0000 3.1534
Ga Ni Zn
1 2 1
Cartesian
0.0000 0.0000 0.0000
0.0000 1.9643 1.5767
1.9643 0.0000 1.5767
1.9643 1.9643 0.0000
```



ZnGaNi2 after structural relaxation, computed with GGA-PBE.

## Properties
size of the total moment = 0.0 μB/cell
total energy = -4.1166 eV per atom

Structure (POSCAR):
```
ZnGaNi2
1.0
2.0204 -3.4995 0.0000
2.0204 3.4995 0.0000
0.0000 0.0000 7.4465
Zn Ga Ni
2 2 4
Cartesian
2.0204 -1.1665 5.5849
2.0204 1.1665 1.8616
0.0000 0.0000 0.0000
0.0000 0.0000 3.7232
2.0204 -1.1665 3.1049
2.0204 1.1665 6.8282
2.0204 -1.1665 0.6183
2.0204 1.1665 4.3416
```



ZnGaNi2 after structural relaxation, computed with GGA-PBE.

## Properties
size of the total moment = 0.0 μB/cell
total energy = -4.2013 eV per atom

Structure (POSCAR):
```
ZnGaNi2
1.0
-2.0497 2.0507 2.9013
2.0497 -2.0507 2.9013
2.0497 2.0507 -2.9013
Ni Ga Zn
2 1 1
Cartesian
2.0497 0.0000 1.4518
0.0000 2.0507 1.4495
0.0000 0.0000 0.0000
0.0000 0.0000 2.9013
```



ZnGaNi2 after structural relaxation, computed with GGA-PBE.

## Properties
size of the total moment = 0.0 μB/cell
total energy = -4.2011 eV per atom

Structure (POSCAR):
```
ZnGaNi2
1.0
4.1035 0.0000 0.0000
0.0000 5.8029 0.0000
0.0000 0.0000 12.3107
Ga Ni Zn
6 12 6
Cartesian
2.0517 0.0000 6.1553
0.0000 2.9014 0.0000
2.0468 0.0000 10.2588
0.0049 2.9014 4.1034
2.0567 0.0000 2.0519
4.0985 2.9014 8.2073
2.0516 1.4523 4.1035
0.0000 1.4506 6.1553
2.0517 4.3520 0.0000
2.0518 1.4523 8.2072
2.0517 1.4509 0.0000
0.0000 1.4491 10.2589
0.0000 1.4491 2.0518
0.0000 4.3523 6.1553
0.0000 4.3538 10.2589
2.0518 4.3505 8.2072
0.0000 4.3538 2.0518
2.0516 4.3505 4.1035
0.0000 0.0000 0.0000
2.0517 2.9014 6.1553
0.0006 0.0000 8.2072
2.0512 2.9014 2.0519
2.0523 2.9014 10.2588
4.1029 0.0000 4.1035
```



ZnGaNi2 after structural relaxation, computed with GGA-PBE.

## Properties
size of the total moment = 0.0 μB/cell
total energy = -4.1046 eV per atom

Structure (POSCAR):
```
ZnGaNi2
1.0
2.0313 -3.5184 0.0000
2.0313 3.5184 0.0000
0.0000 0.0000 7.3312
Ni Ga Zn
4 2 2
Cartesian
2.0313 1.1728 4.2869
2.0313 -1.1728 3.0443
2.0313 -1.1728 0.6213
2.0313 1.1728 6.7099
2.0313 1.1728 1.8328
2.0313 -1.1728 5.4984
0.0000 0.0000 3.6656
0.0000 0.0000 0.0000
```



ZrGaNi after structural relaxation, computed with GGA-PBE.

## Properties
size of the total moment = 0.0 μB/cell
total energy = -6.2725 eV per atom

Structure (POSCAR):
```
ZrGaNi
1.0
6.4594 0.0000 0.0000
-3.2297 5.5940 0.0000
0.0000 0.0000 3.9690
Ni Ga Zr
3 3 3
Cartesian
1.5238 0.0000 0.0000
-0.7619 1.3197 0.0000
2.4678 4.2743 0.0000
0.0000 3.7293 0.0000
3.2297 1.8647 0.0000
0.0000 0.0000 1.9845
-1.8542 3.2116 1.9845
1.3755 2.3825 1.9845
3.7084 0.0000 1.9845
```



Zr3Ga3Ni2 after structural relaxation, computed with GGA-PBE.

## Properties
excess energy over the best structure of this formula in the dataset = 340 meV per atom
size of the total moment = 0.0 μB/cell
total energy = -5.8906 eV per atom

Structure (POSCAR):
```
Zr3Ga3Ni2
1.0
4.6515 0.0000 0.0000
0.0000 2.9408 5.0159
0.0000 -2.9408 5.0159
Zr Ga Ni
3 3 2
Cartesian
0.0000 0.0000 8.3167
2.3257 1.3941 4.2343
2.3257 -1.3941 4.2343
2.3257 0.0000 1.7550
0.0000 -1.4013 5.8950
0.0000 1.4013 5.8950
0.0000 0.0000 3.1505
2.3257 0.0000 6.6464
```



ZrGaNi after structural relaxation, computed with GGA-PBE.

## Properties
size of the total moment = 0.0 μB/cell
total energy = -5.9335 eV per atom

Structure (POSCAR):
```
ZrGaNi
1.0
-5.0020 5.6656 -0.2509
-2.0329 -6.9391 -2.2130
-0.8470 -0.6263 2.7421
Zr Ga Ni
3 3 3
Cartesian
-0.6048 -2.0644 -0.6584
-1.4881 1.6855 -0.0746
-4.9420 -0.8947 -1.7309
-0.4235 -0.3132 1.3710
-4.0123 1.4640 -0.9049
-3.0226 -2.7376 -1.5589
-3.6158 3.3027 1.2109
-1.7209 -4.7418 -0.0413
-2.9686 -0.7739 0.4796
```



Zr3Ga3Ni2 after structural relaxation, computed with GGA-PBE.

## Properties
excess energy over the best structure of this formula in the dataset = 0 meV per atom
size of the total moment = 0.0 μB/cell
total energy = -6.2306 eV per atom

Structure (POSCAR):
```
Zr3Ga3Ni2
1.0
-0.9296 -5.5775 0.0414
1.3519 -0.1971 3.7998
-5.3087 2.2622 2.0061
Ga Ni Zr
3 2 3
Cartesian
-4.7559 1.5450 1.7722
-5.0962 -1.3839 1.7413
-1.0151 -4.8573 2.2547
-3.2297 -0.2364 3.2823
-2.1781 -3.2351 0.6071
-0.2683 -2.1376 2.1301
-2.4730 -0.2592 0.8664
-3.2332 -3.0908 3.1355
```



ZrGaNi after structural relaxation, computed with GGA-PBE.

## Properties
size of the total moment = 0.0 μB/cell
total energy = -5.5437 eV per atom

Structure (POSCAR):
```
ZrGaNi
1.0
0.0000 3.0863 3.0863
3.0863 0.0000 3.0863
3.0863 3.0863 0.0000
Ga Zr Ni
1 1 1
Cartesian
1.5431 1.5431 1.5431
0.0000 0.0000 0.0000
4.6295 4.6295 4.6295
```